1.
Material: BaMgAlGe2
Method: DFT, PBE
State: relaxed

Properties
V = 120.9 Å³/f.u.
Formation enthalpy at 0 K = -0.4184 eV/atom
Density = 4.6 g/cm³
Symmetry = I-4m2, No. 119

```
BaMgAlGe2
1.0
-4.250 0.672 -1.297
0.224 -3.644 -2.620
0.089 -1.902 6.505
Ba Mg Al Ge
1 1 1 2
direct
0.000 0.000 0.000
0.250 0.750 0.500
0.750 0.250 0.500
0.620 0.620 0.241
0.380 0.380 0.759
```

2.
Material: Sb2TePPd
Method: DFT, PBE
State: relaxed

Properties
V = 135.6 Å³/f.u.
Density = 6.2 g/cm³
Formation energy from raw total energies = 0.716 eV per atom
Energy above the lowest structure with this stoichiometry = 13 meV/atom
Symmetry = P4/mmm, No. 123

```
Sb2TePPd
1.0
5.086 0.000 0.000
0.000 5.086 0.000
0.000 0.000 5.241
Sb Te Pd P
2 1 1 1
direct
0.000 0.500 0.000
0.500 0.000 0.000
0.000 0.000 0.500
0.500 0.500 0.500
0.000 0.000 0.000
```

3.
Material: NaDyMgCl6
Method: DFT, PBE
State: relaxed

Properties
V = 242.1 Å³/f.u.
Density = 2.9 g/cm³
Formation energy from raw total energies = -2.040 eV per atom
Symmetry = P-31c, No. 163

```
NaDyMgCl6
1.0
-2.578 5.230 -3.264
0.869 -5.819 -3.170
-11.514 -3.564 3.385
Na Dy Mg Cl
2 2 2 12
direct
0.000 0.000 0.000
0.000 0.000 0.500
0.667 0.333 0.250
0.333 0.667 0.750
0.333 0.667 0.250
0.667 0.333 0.750
0.635 0.649 0.134
0.014 0.365 0.134
0.365 0.014 0.634
0.986 0.635 0.866
0.351 0.365 0.366
0.014 0.649 0.366
0.649 0.014 0.866
0.635 0.986 0.366
0.986 0.351 0.634
0.351 0.986 0.134
0.649 0.635 0.634
0.365 0.351 0.866
```